one:
# Zn2Cu5Ni2

An optimized crystal structure of Zn2Cu5Ni2 (PBE, Alexandria via LeMat-Bulk).

Cell: 3.579 5.757 5.836 Å, 107.79 90.01 107.96°
Space group P-1 (No. 2)
Unique sites:
1 Zn 0.056 0.111 0.334 [2 per cell]
2 Cu 0.169 0.338 0.999 [2 per cell]
3 Cu 0.277 0.554 0.667 [2 per cell]
4 Cu 0.500 0.000 0.000 [1 per cell]
5 Ni 0.389 0.779 0.332 [2 per cell]

---

two:
# Zn2Cu5Ni2

An optimized crystal structure of Zn2Cu5Ni2 (PBE, Alexandria via LeMat-Bulk).

Cell: 3.617 4.445 7.755 Å, 73.50 76.67 66.05°
Space group P1 (No. 1)
Unique sites:
1 Zn 0.000 0.000 0.000 [1 per cell]
2 Zn 0.328 0.785 0.560 [1 per cell]
3 Cu 0.000 0.664 0.338 [1 per cell]
4 Cu 0.329 0.114 0.229 [1 per cell]
5 Cu 0.331 0.448 0.890 [1 per cell]
6 Cu 0.666 0.553 0.117 [1 per cell]
7 Cu 0.997 0.337 0.669 [1 per cell]
8 Ni 0.662 0.895 0.781 [1 per cell]
9 Ni 0.664 0.224 0.449 [1 per cell]

---

two comes first in stability; the runner-up is 8 meV/atom higher.

---

one:
# ZnCu6Ni

An optimized crystal structure of ZnCu6Ni (PBE, Alexandria via LeMat-Bulk).

Cell: 5.161 5.161 3.606 Å, 90.00 90.00 90.00°
Space group P4/mmm (No. 123)
Unique sites:
1 Zn 0.000 0.000 0.000 [1 per cell]
2 Cu 0.000 0.500 0.000 [2 per cell]
3 Cu 0.254 0.254 0.500 [4 per cell]
4 Ni 0.500 0.500 0.000 [1 per cell]

---

two:
# ZnCu6Ni

An optimized crystal structure of ZnCu6Ni (PBE, Alexandria via LeMat-Bulk).

Cell: 6.6172 6.6172 9.0584 Å, 90.00 90.00 120.00°
Space group R-3m (No. 166, hexagonal axes)
Unique sites:
1 Zn 0.0000 0.0000 0.0000 [3 per cell]
2 Cu 0.0870 0.5435 0.3793 [18 per cell]
3 Ni 0.0000 0.0000 0.5000 [3 per cell]

---

one comes first in stability; the runner-up is 439 meV/atom higher.

---

one:
# Zn3Cu3Ni2

An optimized crystal structure of Zn3Cu3Ni2 (PBE, Alexandria via LeMat-Bulk).

Cell: 3.693 3.729 7.137 Å, 90.00 90.00 90.00°
Space group Pmmm (No. 47)
Unique sites:
1 Zn 0.000 0.000 0.000 [1 per cell]
2 Zn 0.000 0.000 0.500 [1 per cell]
3 Zn 0.500 0.500 0.000 [1 per cell]
4 Cu 0.000 0.500 0.253 [2 per cell]
5 Cu 0.500 0.500 0.500 [1 per cell]
6 Ni 0.500 0.000 0.250 [2 per cell]

---

two:
# Zn3Cu3Ni2

An optimized crystal structure of Zn3Cu3Ni2 (PBE, Alexandria via LeMat-Bulk).

Cell: 6.6624 6.6624 2.6429 Å, 90.00 90.00 120.00°
Space group P-62m (No. 189)
Unique sites:
1 Zn 0.0000 0.6115 0.0000 [3 per cell]
2 Cu 0.0000 0.2346 0.5000 [3 per cell]
3 Ni 0.3333 0.6667 0.5000 [2 per cell]

---

one comes first in stability; the runner-up is 69 meV/atom higher.

---

one:
# Zn6Cu3Ni

An optimized crystal structure of Zn6Cu3Ni (PBE, Alexandria via LeMat-Bulk).

Cell: 7.042 4.278 9.348 Å, 90.00 110.78 90.00°
Space group P2_1/m (No. 11)
Unique sites:
1 Zn 0.001 0.250 0.165 [2 per cell]
2 Zn 0.001 0.250 0.667 [2 per cell]
3 Zn 0.208 0.750 0.138 [2 per cell]
4 Zn 0.222 0.250 0.477 [2 per cell]
5 Zn 0.397 0.750 0.928 [2 per cell]
6 Zn 0.422 0.250 0.285 [2 per cell]
7 Cu 0.189 0.750 0.627 [2 per cell]
8 Cu 0.205 0.250 0.971 [2 per cell]
9 Cu 0.399 0.250 0.768 [2 per cell]
10 Ni 0.394 0.750 0.429 [2 per cell]

---

two:
# Zn6Cu3Ni

An optimized crystal structure of Zn6Cu3Ni (PBE, Alexandria via LeMat-Bulk).

Cell: 8.578 5.010 6.814 Å, 90.00 109.55 90.00°
Space group C2/m (No. 12)
Unique sites:
1 Zn 0.158 0.000 0.406 [4 per cell]
2 Zn 0.159 0.249 0.809 [8 per cell]
3 Cu 0.000 0.500 0.500 [2 per cell]
4 Cu 0.093 0.500 0.189 [4 per cell]
5 Ni 0.000 0.000 0.000 [2 per cell]

---

one comes first in stability; the runner-up is 93 meV/atom higher.